Entry 1:
## RbHg2AsPd (PBE-GGA)

Data for crystalline RbHg2AsPd at its relaxed geometry.

a b c (Å): 5.4113 5.4113 4.9974
angles (deg): 90.00 90.00 90.00
Fractional positions:
Hg: 0.0000 0.5000 0.0000
Hg: 0.5000 0.0000 0.0000
Pd: 0.0000 0.0000 0.0000
Rb: 0.5000 0.5000 0.5000
As: 0.0000 0.0000 0.5000

Computed properties:
Energy relative to the elements ... -125 meV/atom
Space-group type ... No. 123
Density of states at the Fermi level ... 0.749 states/eV per atom

---

Entry 2:
## ScHgAsPd2 (PBE-GGA)

Data for crystalline ScHgAsPd2 at its relaxed geometry.

a b c (Å): 4.8288 4.8288 5.0830
angles (deg): 90.00 90.00 90.00
Fractional positions:
Pd: 0.5000 0.0000 0.0000
Pd: 0.0000 0.5000 0.0000
As: 0.0000 0.0000 0.5000
Sc: 0.0000 0.0000 0.0000
Hg: 0.5000 0.5000 0.5000

Computed properties:
Energy relative to the elements ... 368 meV/atom
Space-group type ... No. 123
Density of states at the Fermi level ... 0.537 states/eV per atom

---

no.,magnetization (μB/cell),calculated total energy (eV for the cell shown)
1,0.769,-12.0
2,0.000,-19.8